[1]
Entry from Alexandria via LeMat-Bulk: a relaxed MnCdTe2 crystal (PBE).

Computed properties:
E_form (uncorrected)	-53	meV per atom
total moment	6.674	Bohr magnetons per cell
uncorrected energy	-0.1523	Ha/atom

Cell: 12.8614 3.9064 4.9962 Å, 90.00 103.58 90.00°
Space group Cm (No. 8)
One atom of each set of equivalent atoms:
Mn1 0.0000 0.0000 0.0000 x2
Cd1 0.1687 0.0000 0.7374 x2
Te1 0.1377 0.5000 0.2232 x2
Te2 0.3888 0.0000 0.7037 x2

---

[2]
Entry from Alexandria via LeMat-Bulk: a relaxed CoOsAu2 crystal (PBE).

Computed properties:
ΔE to the lowest computed polymorph	294	meV/atom
total moment	4.160	Bohr magnetons per cell
uncorrected energy	-0.2079	Ha/atom
energy of formation from the pure elements	0.5652	eV/atom

Cell: 9.3845 2.7216 4.9045 Å, 90.00 99.81 90.00°
Space group C2/m (No. 12)
One atom of each set of equivalent atoms:
Co1 0.0000 0.0000 0.0000 x2
Os1 0.0000 0.5000 0.5000 x2
Au1 0.2486 0.5000 0.2472 x4

---

[3]
Entry from Alexandria via LeMat-Bulk: a relaxed BeReBr2O crystal (PBE).

Computed properties:
E_form (uncorrected)	1550	meV per atom
total moment	0.800	Bohr magnetons per cell
uncorrected energy	-0.1229	Ha/atom

Cell: 4.4896 4.4896 4.4864 Å, 90.00 90.00 90.00°
Space group P4/mmm (No. 123)
One atom of each set of equivalent atoms:
Be1 0.0000 0.0000 0.0000 x1
Re1 0.0000 0.0000 0.5000 x1
Br1 0.0000 0.5000 0.0000 x2
O1 0.5000 0.5000 0.5000 x1

---

> total moment of number 3 (BeReBr2O)?

0.800 Bohr magnetons per cell